(1)
A relaxed structure of ReO4. Source: Alexandria, functional PBE.

```
ReO4
1.0
6.300 0.000 3.637
2.100 5.940 3.637
0.000 0.000 7.274
O Re
8 2
direct
0.099 0.099 0.704 O
0.651 0.046 0.651 O
0.099 0.099 0.099 O
0.046 0.651 0.651 O
0.651 0.651 0.046 O
0.651 0.651 0.651 O
0.099 0.704 0.099 O
0.704 0.099 0.099 O
0.000 0.000 0.000 Re
0.750 0.750 0.750 Re
```

Output
* magnetic moment: 2.00 μB per cell
* space group: No. 227
* formation energy from raw total energies: -0.9963 eV per atom

***

(2)
A relaxed structure of CuRuN2. Source: Alexandria, functional PBE.

```
CuRuN2
1.0
4.544 0.000 0.000
0.000 4.544 0.000
2.272 2.272 4.535
N Cu Ru
4 2 2
direct
0.375 0.357 0.750 N
0.107 0.625 0.250 N
0.875 0.893 0.750 N
0.643 0.125 0.250 N
0.500 0.500 0.000 Cu
0.250 0.750 0.500 Cu
0.000 0.000 0.000 Ru
0.750 0.250 0.500 Ru
```

Output
* ΔE to the lowest computed polymorph: 0.0 meV per atom
* magnetic moment: 0.00 μB per cell
* space group: No. 122
* formation energy from raw total energies: 0.4306 eV per atom

***

(3)
A relaxed structure of Pm2PrHoEr5. Source: Alexandria, functional PBE.

```
Pm2PrHoEr5
1.0
-0.900 -7.703 -4.030
1.389 -4.127 7.578
-7.741 6.037 -0.334
Pm Er Pr Ho
4 10 2 2
direct
0.884 0.616 0.000 Pm
0.616 0.116 0.000 Pm
0.116 0.384 0.000 Pm
0.384 0.884 0.000 Pm
0.927 0.427 0.273 Er
0.573 0.654 0.727 Er
0.154 0.073 0.727 Er
0.427 0.346 0.273 Er
0.654 0.154 0.727 Er
0.846 0.927 0.273 Er
0.073 0.573 0.727 Er
0.000 0.000 0.000 Er
0.346 0.846 0.273 Er
0.500 0.500 0.000 Er
0.750 0.750 0.500 Pr
0.250 0.250 0.500 Pr
0.250 0.750 0.500 Ho
0.750 0.250 0.500 Ho
```

Output
* magnetic moment: 0.09 μB per cell
* formation energy: 265 meV/atom
* space group: No. 140

***

(4)
A relaxed structure of CdBi. Source: Alexandria, functional PBE.

```
CdBi
1.0
4.215 0.000 0.000
-2.107 3.650 0.000
0.000 0.000 9.165
Bi Cd
2 2
direct
0.667 0.333 0.199 Bi
0.333 0.667 0.699 Bi
0.333 0.667 0.383 Cd
0.667 0.333 0.883 Cd
```

Output
* magnetic moment: 0.00 μB per cell
* formation energy: 205 meV/atom
* space group: No. 186

***

(5)
A relaxed structure of VCd2Au. Source: Alexandria, functional PBE.

```
VCd2Au
1.0
-0.757 2.809 -0.084
-2.488 0.799 -1.281
-6.219 0.096 8.835
Au Cd V
1 2 1
direct
0.500 0.500 0.500 Au
0.088 0.088 0.737 Cd
0.912 0.912 0.263 Cd
0.000 0.000 0.000 V
```

Output
* ΔE to the lowest computed polymorph: 251.1 meV per atom
* magnetic moment: 1.83 μB per cell
* formation energy: 423 meV/atom
* space group: No. 166

***

(6)
A relaxed structure of LaTbSm2Bi4. Source: Alexandria, functional PBE.

```
LaTbSm2Bi4
1.0
4.586 0.000 0.000
0.000 7.934 -0.158
0.000 2.791 7.422
Bi Sm La Tb
4 2 1 1
direct
0.000 0.247 0.256 Bi
0.000 0.753 0.744 Bi
0.500 0.250 0.745 Bi
0.500 0.750 0.255 Bi
0.500 0.000 0.500 Sm
0.000 0.000 0.000 Sm
0.500 0.500 0.000 La
0.000 0.500 0.500 Tb
```

Output
* magnetic moment: 0.00 μB per cell
* formation energy: -941 meV/atom
* space group: No. 10

***

(7)
A relaxed structure of CuNi2WN. Source: Alexandria, functional PBE.

```
CuNi2WN
1.0
3.799 0.000 0.000
0.000 3.799 0.000
0.000 0.000 4.012
W Cu Ni N
1 1 2 1
direct
0.000 0.000 0.500 W
0.500 0.500 0.500 Cu
0.500 0.000 0.000 Ni
0.000 0.500 0.000 Ni
0.000 0.000 0.000 N
```

Output
* magnetic moment: 0.69 μB per cell
* space group: No. 123
* formation energy from raw total energies: 0.0793 eV per atom

***

(8)
A relaxed structure of Li2LaPrAu4. Source: Alexandria, functional PBE.

```
Li2LaPrAu4
1.0
-1.335 2.528 -3.625
-2.287 -1.987 -3.483
-9.637 2.096 2.072
Au Li Pr La
4 2 1 1
direct
0.108 0.108 0.677 Au
0.892 0.892 0.323 Au
0.609 0.609 0.173 Au
0.391 0.391 0.827 Au
0.252 0.252 0.245 Li
0.748 0.748 0.755 Li
0.000 0.000 0.000 Pr
0.500 0.500 0.500 La
```

Output
* magnetic moment: 0.00 μB per cell
* formation energy: -713 meV/atom
* space group: No. 166

***

(9)
A relaxed structure of ZnPtSe2. Source: Alexandria, functional PBE.

```
ZnPtSe2
1.0
-3.687 2.813 0.413
-4.012 -1.654 1.686
-1.468 1.309 4.220
Se Pt Zn
2 1 1
direct
0.750 0.750 0.750 Se
0.000 0.000 0.000 Se
0.500 0.500 0.500 Pt
0.250 0.250 0.250 Zn
```

Output
* magnetic moment: 0.00 μB per cell
* space group: No. 216
* formation energy from raw total energies: 0.3409 eV per atom

***

(10)
A relaxed structure of LiTeW2. Source: Alexandria, functional PBE.

```
LiTeW2
1.0
5.032 -0.006 0.000
-2.191 4.531 0.000
0.000 0.000 3.000
W Li Te
2 1 1
direct
0.500 0.500 0.000 W
0.000 0.000 0.000 W
0.500 0.000 0.500 Li
0.000 0.500 0.500 Te
```

Output
* magnetic moment: 0.00 μB per cell
* space group: No. 65
* formation energy from raw total energies: 0.8650 eV per atom

***

(11)
A relaxed structure of BaPd2Pb2. Source: Alexandria, functional PBE.

```
BaPd2Pb2
1.0
7.254 -0.245 0.015
3.424 5.683 0.022
3.652 -0.107 6.937
Pb Pd Ba
4 4 2
direct
0.481 0.249 0.040 Pb
0.724 0.251 0.554 Pb
0.276 0.749 0.446 Pb
0.519 0.751 0.960 Pb
0.881 0.875 0.786 Pd
0.664 0.375 0.216 Pd
0.119 0.125 0.214 Pd
0.336 0.625 0.784 Pd
0.114 0.251 0.770 Ba
0.886 0.749 0.230 Ba
```

Output
* magnetic moment: 0.00 μB per cell
* formation energy: -409 meV/atom
* space group: No. 2

***

(12)
A relaxed structure of UTl3V2Se6. Source: Alexandria, functional PBE.

```
UTl3V2Se6
1.0
-0.048 5.452 -3.960
-4.272 -0.424 5.194
6.755 1.732 4.228
Se Tl V U
6 3 2 1
direct
0.580 0.936 0.809 Se
0.936 0.580 0.809 Se
0.064 0.420 0.191 Se
0.706 0.706 0.186 Se
0.294 0.294 0.814 Se
0.420 0.064 0.191 Se
0.500 0.500 0.500 Tl
0.159 0.841 0.500 Tl
0.841 0.159 0.500 Tl
0.668 0.332 0.000 V
0.332 0.668 0.000 V
0.000 0.000 0.000 U
```

Output
* magnetic moment: 7.01 μB per cell
* space group: No. 12
* formation energy from raw total energies: -0.7061 eV per atom

***

(13)
A relaxed structure of SrLa5S6. Source: Alexandria, functional PBE.

```
SrLa5S6
1.0
-4.513 4.940 2.736
-6.219 -0.132 -3.665
-5.367 -4.335 2.151
La S Sr
5 6 1
direct
0.500 0.500 0.000 La
0.500 0.834 0.332 La
0.500 0.166 0.668 La
0.000 0.333 0.333 La
0.000 0.667 0.667 La
0.251 0.582 0.334 S
0.750 0.749 0.000 S
0.251 0.916 0.666 S
0.250 0.251 0.000 S
0.749 0.084 0.334 S
0.749 0.418 0.666 S
0.000 0.000 0.000 Sr
```

Output
* magnetic moment: 0.00 μB per cell
* space group: No. 12
* formation energy from raw total energies: -2.1418 eV per atom

***

(14)
A relaxed structure of Rb2BaLa. Source: Alexandria, functional PBE.

```
Rb2BaLa
1.0
-2.158 -1.657 10.909
0.159 -11.119 -1.658
2.827 -6.445 5.373
Rb La Ba
4 2 2
direct
0.875 0.881 0.750 Rb
0.631 0.125 0.250 Rb
0.119 0.625 0.250 Rb
0.375 0.369 0.750 Rb
0.000 0.000 0.000 La
0.750 0.250 0.500 La
0.250 0.750 0.500 Ba
0.500 0.500 0.000 Ba
```

Output
* magnetic moment: 4.73 μB per cell
* formation energy: 635 meV/atom
* space group: No. 122

***

(15)
A relaxed structure of Rb2ZnCdHg. Source: Alexandria, functional PBE.

```
Rb2ZnCdHg
1.0
6.879 0.000 0.000
0.000 6.879 0.000
0.000 0.000 5.034
Rb Cd Hg Zn
2 1 1 1
direct
0.500 0.000 0.000 Rb
0.000 0.500 0.000 Rb
0.500 0.500 0.500 Cd
0.000 0.000 0.500 Hg
0.000 0.000 0.000 Zn
```

Output
* ΔE to the lowest computed polymorph: 30.5 meV per atom
* magnetic moment: 0.00 μB per cell
* formation energy: 91 meV/atom
* space group: No. 123

***

(16)
A relaxed structure of W2AuBr. Source: Alexandria, functional PBE.

```
W2AuBr
1.0
-2.567 1.624 0.778
-1.313 -0.760 -2.745
-2.661 -5.553 2.811
Au W Br
1 2 1
direct
0.500 0.500 0.250 Au
0.000 0.000 0.504 W
0.000 0.000 0.996 W
0.500 0.500 0.750 Br
```

Output
* ΔE to the lowest computed polymorph: 552.6 meV per atom
* magnetic moment: 0.00 μB per cell
* space group: No. 123
* formation energy from raw total energies: 1.1035 eV per atom

***

(17)
A relaxed structure of Dy4H2Pb5. Source: Alexandria, functional PBE.

```
Dy4H2Pb5
1.0
3.612 0.000 0.000
0.000 9.312 -0.753
-1.806 -3.690 8.823
Pb H Dy
5 2 4
direct
0.178 0.000 0.355 Pb
0.500 0.000 0.000 Pb
0.822 0.000 0.645 Pb
0.824 0.634 0.647 Pb
0.176 0.366 0.353 Pb
0.547 0.666 0.093 H
0.453 0.334 0.907 H
0.342 0.331 0.684 Dy
0.658 0.669 0.316 Dy
0.997 0.298 0.995 Dy
0.003 0.702 0.005 Dy
```

Output
* magnetic moment: 0.00 μB per cell
* space group: No. 12
* final energy: -46.59 eV per cell

***

(18)
A relaxed structure of Sc2CdNi. Source: Alexandria, functional PBE.

```
Sc2CdNi
1.0
4.735 -0.030 -0.012
0.027 4.735 -0.012
0.008 0.007 3.410
Sc Ni Cd
2 1 1
direct
0.500 0.500 0.000 Sc
0.000 0.000 0.000 Sc
0.000 0.500 0.500 Ni
0.500 0.000 0.500 Cd
```

Output
* magnetic moment: 0.00 μB per cell
* formation energy: -280 meV/atom
* space group: No. 123

***

(19)
A relaxed structure of Ti2Zn2PbO7. Source: Alexandria, functional PBE.

```
Ti2Zn2PbO7
1.0
-0.924 -2.855 2.096
1.266 -3.160 -3.746
7.703 2.640 3.797
O Pb Ti Zn
7 1 2 2
direct
0.615 0.033 0.229 O
0.729 0.692 0.458 O
0.385 0.803 0.771 O
0.500 0.452 0.000 O
0.886 0.336 0.772 O
0.114 0.565 0.228 O
0.271 0.234 0.542 O
0.000 0.128 0.000 Pb
0.387 0.453 0.775 Ti
0.613 0.678 0.225 Ti
0.726 0.288 0.452 Zn
0.274 0.837 0.548 Zn
```

Output
* magnetic moment: 0.00 μB per cell
* space group: No. 44
* formation energy from raw total energies: -2.1625 eV per atom

***

(20)
A relaxed structure of In4AgPb3. Source: Alexandria, functional PBE.

```
In4AgPb3
1.0
3.532 0.000 0.000
0.000 3.532 0.000
0.000 0.000 17.613
Ag In Pb
1 4 3
direct
0.500 0.500 0.000 Ag
0.000 0.000 0.100 In
0.000 0.000 0.367 In
0.000 0.000 0.633 In
0.000 0.000 0.900 In
0.500 0.500 0.234 Pb
0.500 0.500 0.500 Pb
0.500 0.500 0.766 Pb
```

Output
* magnetic moment: 0.00 μB per cell
* formation energy: 29 meV/atom
* space group: No. 123

***

no.,D(E_F) (states/eV per cell)
1,21.23
2,2.85
3,19.65
4,1.70
5,3.08
6,1.09
7,6.71
8,4.66
9,4.10
10,2.88
11,5.36
12,3.83
13,6.55
14,16.56
15,4.40
16,2.73
17,6.30
18,3.02
19,0.00
20,4.09